Material: CrAs2O6
Method: DFT, GGA+U
State: optimized geometry

Unit cell a=5.6636 b=5.6636 c=5.6219 alpha=90.00 beta=90.00 gamma=120.00
Space group P-3m1 (No. 164)
Symmetry-distinct sites (fractional):
Cr1 0.0000 0.0000 0.0000 x1
As1 0.3333 0.6667 0.8749 x2
O1 0.1659 0.3317 0.7905 x6

## Properties
Density of states at the Fermi level ... 3.98 states/eV/f.u.
Uncorrected energy ... -6.20 eV per atom